(1)
A relaxed SrBiB3 crystal. Source: Alexandria via LeMat-Bulk, functional PBE.

Unit cell a=4.8244 b=4.8244 c=4.8244 alpha=90.00 beta=90.00 gamma=90.00
Space group Pm-3m (No. 221)
Asymmetric unit:
1 Sr 0.0000 0.0000 0.0000
2 Bi 0.5000 0.5000 0.5000
3 B 0.0000 0.5000 0.5000

**Relative energy among the computed polymorphs**: 0.000 eV/atom

(2)
A relaxed NbCdGaCu2 crystal. Source: Alexandria via LeMat-Bulk, functional PBE.

Unit cell a=4.4502 b=4.4502 c=4.8820 alpha=90.00 beta=90.00 gamma=90.00
Space group P4/mmm (No. 123)
Asymmetric unit:
1 Nb 0.0000 0.0000 0.0000
2 Cd 0.5000 0.5000 0.0000
3 Ga 0.0000 0.0000 0.5000
4 Cu 0.0000 0.5000 0.5000

no.,E_form (meV per atom)
1,1773
2,631